[1]
# NbTlFeRe

Crystalline NbTlFeRe at its relaxed geometry (GGA-PBE, the Open Quantum Materials Database).

- distance to the lowest polymorph of the same formula (eV/atom) = 0.000

a = 6.4127 Å, b = 6.4127 Å, c = 6.4127 Å
α = 90.00°, β = 90.00°, γ = 90.00°
Last column: nearest neighbours and their distance in Å.
Space group F-43m (No. 216)
Inequivalent atoms, fractional coordinates:
Nb 0.0000 0.0000 0.0000 (multiplicity 4)  4 Fe 2.78, 4 Re 2.78
Tl 0.0000 0.0000 0.5000 (multiplicity 4)  4 Fe 2.78, 4 Re 2.78
Fe 0.2500 0.2500 0.7500 (multiplicity 4)  4 Tl 2.78, 4 Nb 2.78
Re 0.2500 0.2500 0.2500 (multiplicity 4)  4 Tl 2.78, 4 Nb 2.78



[2]
# Nb2FeS4

Crystalline Nb2FeS4 at its relaxed geometry (GGA-PBE, the Open Quantum Materials Database).

- electronic total energy (eV for the cell shown) = -196.63

a = 10.9133 Å, b = 3.3025 Å, c = 13.0609 Å
α = 90.00°, β = 90.00°, γ = 90.00°
Last column: nearest neighbours and their distance in Å.
Space group Pnma (No. 62)
Inequivalent atoms, fractional coordinates:
Nb 0.0428 0.2500 0.0844 (multiplicity 4)  6 S 2.48-2.62
Nb 0.1138 0.2500 0.6000 (multiplicity 4)  7 S 2.51-2.71
Fe 0.2263 0.2500 0.8290 (multiplicity 4)  3 S 2.28-2.43
S 0.0237 0.2500 0.7858 (multiplicity 4)  1 Fe 2.28, 2 Nb 2.48
S 0.0594 0.2500 0.4116 (multiplicity 4)  3 Nb 2.51-2.53
S 0.1768 0.7500 0.9882 (multiplicity 4)  4 Nb 2.54-2.71, 2 Fe 2.71
S 0.2434 0.2500 0.1948 (multiplicity 4)  2 Fe 2.43, 3 Nb 2.59-2.62



[3]
# NbFe2Sb

Crystalline NbFe2Sb at its relaxed geometry (GGA-PBE, the Open Quantum Materials Database).

- electronic total energy (eV for the cell shown) = -120.80

a = 6.2885 Å, b = 6.2885 Å, c = 6.2885 Å
α = 90.00°, β = 90.00°, γ = 90.00°
Last column: nearest neighbours and their distance in Å.
Space group F-43m (No. 216)
Inequivalent atoms, fractional coordinates:
Nb 0.0000 0.0000 0.0000 (multiplicity 4)  4 Fe 2.72, 4 Sb 2.72
Fe 0.0000 0.0000 0.5000 (multiplicity 4)  4 Sb 2.72, 4 Fe 2.72
Fe 0.2500 0.2500 0.2500 (multiplicity 4)  4 Nb 2.72, 4 Fe 2.72
Sb 0.2500 0.2500 0.7500 (multiplicity 4)  4 Nb 2.72, 4 Fe 2.72



Question: Which formula does entry 1 have?
Answer: NbTlFeRe